The following is a PBE calculation of a geometry-optimized SiRh2 structure, from the Alexandria database.

Cell and atoms, written as POSCAR:
```
SiRh2
1.0
-3.2941 5.6248 1.6176
2.0374 -4.9259 -4.0854
-3.4871 -2.3606 1.1072
Si Rh
2 4
Direct
0.0798 0.9202 0.7500
0.9202 0.0798 0.2500
0.7210 0.2790 0.7500
0.4285 0.5715 0.7500
0.2790 0.7210 0.2500
0.5715 0.4285 0.2500
```

Its uncorrected formation energy is -0.5906 eV/atom. As for the density of states at the Fermi level: 0.693 states/eV per atom. The value obtained for the volume is 13.60 Å³ per atom. For the uncorrected energy, the calculation gives -21.898 eV per formula unit.